--- P ---
Entry from the Open Quantum Materials Database: crystalline Ni17Bi at its relaxed geometry (GGA-PBE).

Summary:
The space group is Pm, No. 6.

a b c (Å): 4.273 4.931 24.626
angles (deg): 90.00 90.02 90.00
Element x y z (fractional)
Bi 0.667 0.000 0.127
Bi 0.333 0.500 0.873
Ni 0.672 0.500 0.173
Ni 0.168 0.253 0.173
Ni 0.168 0.747 0.173
Ni 0.998 0.000 0.253
Ni 0.502 0.248 0.253
Ni 0.502 0.752 0.253
Ni 0.001 0.500 0.254
Ni 0.334 0.000 0.335
Ni 0.834 0.250 0.335
Ni 0.834 0.750 0.335
Ni 0.335 0.500 0.336
Ni 0.667 0.000 0.418
Ni 0.167 0.250 0.418
Ni 0.167 0.750 0.418
Ni 0.667 0.500 0.418
Ni 0.500 0.250 0.500
Ni 0.500 0.750 0.500
Ni 0.000 0.000 0.500
Ni 0.000 0.500 0.500
Ni 0.333 0.000 0.582
Ni 0.833 0.250 0.582
Ni 0.833 0.750 0.582
Ni 0.333 0.500 0.583
Ni 0.664 0.000 0.664
Ni 0.165 0.250 0.664
Ni 0.165 0.750 0.664
Ni 0.666 0.500 0.665
Ni 0.999 0.000 0.746
Ni 0.498 0.252 0.747
Ni 0.498 0.748 0.747
Ni 0.002 0.500 0.747
Ni 0.832 0.247 0.827
Ni 0.832 0.753 0.827
Ni 0.328 0.000 0.827

---

--- Q ---
Entry from the Open Quantum Materials Database: crystalline Ni17Bi at its relaxed geometry (GGA-PBE).

Summary:
The space group is P3m1, No. 156.

a b c (Å): 4.932 4.932 31.140
angles (deg): 90.00 90.00 120.00
Element x y z (fractional)
Bi 0.333 0.667 0.208
Bi 0.000 0.000 0.792
Ni 0.336 0.168 0.243
Ni 0.832 0.168 0.243
Ni 0.832 0.664 0.243
Ni 0.168 0.337 0.306
Ni 0.168 0.832 0.306
Ni 0.663 0.832 0.306
Ni 0.667 0.333 0.308
Ni 0.000 0.000 0.370
Ni 0.001 0.500 0.371
Ni 0.500 0.500 0.371
Ni 0.500 0.999 0.371
Ni 0.333 0.667 0.435
Ni 0.333 0.166 0.435
Ni 0.834 0.166 0.435
Ni 0.834 0.667 0.435
Ni 0.667 0.333 0.500
Ni 0.167 0.333 0.500
Ni 0.167 0.833 0.500
Ni 0.667 0.833 0.500
Ni 0.000 0.500 0.564
Ni 0.500 0.500 0.564
Ni 0.500 0.000 0.564
Ni 0.000 0.000 0.565
Ni 0.332 0.166 0.629
Ni 0.834 0.166 0.629
Ni 0.834 0.668 0.629
Ni 0.333 0.667 0.630
Ni 0.667 0.333 0.692
Ni 0.165 0.330 0.694
Ni 0.165 0.835 0.694
Ni 0.670 0.835 0.694
Ni 0.502 0.003 0.756
Ni 0.502 0.498 0.756
Ni 0.997 0.498 0.756

---

Short version: P is the most stable of them.